Arrangement A

A plane-wave DFT calculation with PBE was carried out for an optimized crystal structure of HfB2Mo.

The structure belongs to space group I-42d (No. 122); the cell edges are 5.0471, 5.0471 and 9.9909 Å and the angles 90.00°, 90.00° and 90.00°. The distinct sites, in fractional coordinates, are Hf at (0.0000, 0.0000, 0.0000), B at (0.2100, 0.2500, 0.6250) and Mo at (0.0000, 0.0000, 0.5000).

For the total magnetic moment, the calculation gives 0.00 Bohr magnetons per cell.



Arrangement B

A plane-wave DFT calculation with PBE was carried out for an optimized crystal structure of HfB2Mo.

The structure belongs to space group Pmc2_1 (No. 26); the cell edges are 3.1738, 4.7526 and 6.1391 Å and the angles 90.00°, 90.00° and 90.00°. The distinct sites, in fractional coordinates, are Hf at (0.0000, 0.1301, 0.0000), B at (0.0000, 0.3552, 0.3622), B at (0.5000, 0.1685, 0.3038) and Mo at (0.5000, 0.3809, 0.6503).

For the total magnetic moment, the calculation gives 0.00 Bohr magnetons per cell.



Verdict on stability: arrangement B comes out on top.



Arrangement A

A plane-wave DFT calculation with PBE was carried out for an optimized crystal structure of HfB2Mo.

The structure belongs to space group Amm2 (No. 38); the cell edges are 3.1711, 3.2763 and 8.8841 Å and the angles 90.00°, 90.00° and 90.00°. The distinct sites, in fractional coordinates, are Hf at (0.0000, 0.0000, 0.0000), B at (0.0000, 0.0000, 0.2913), B at (0.5000, 0.0000, 0.3990) and Mo at (0.5000, 0.0000, 0.7107).

For the total magnetic moment, the calculation gives 0.00 Bohr magnetons per cell.



Arrangement B

A plane-wave DFT calculation with PBE was carried out for an optimized crystal structure of HfB2Mo.

The structure belongs to space group R-3m (No. 166, hexagonal axes); the cell edges are 3.2582, 3.2582 and 16.1370 Å and the angles 90.00°, 90.00° and 120.00°. The distinct sites, in fractional coordinates, are Hf at (0.0000, 0.0000, 0.0000), B at (0.0000, 0.0000, 0.2431) and Mo at (0.0000, 0.0000, 0.5000).

For the total magnetic moment, the calculation gives 0.00 Bohr magnetons per cell.



Arrangement C

A plane-wave DFT calculation with PBE was carried out for an optimized crystal structure of HfB2Mo.

The structure belongs to space group Fm-3m (No. 225); the cell edges are 5.7695, 5.7695 and 5.7695 Å and the angles 90.00°, 90.00° and 90.00°. The distinct sites, in fractional coordinates, are Hf at (0.0000, 0.0000, 0.0000), B at (0.2500, 0.2500, 0.2500) and Mo at (0.0000, 0.0000, 0.5000).

For the total magnetic moment, the calculation gives 0.00 Bohr magnetons per cell.



Verdict on stability: arrangement A comes out on top.